(w)
Entry from Alexandria via LeMat-Bulk: a geometry-optimized K2CaMn structure (GGA-PBEsol).

```
K2CaMn
1.0
-3.027 3.027 4.270
3.027 -3.027 4.270
3.027 3.027 -4.270
K Ca Mn
2 1 1
direct
0.000 0.000 0.000
0.750 0.250 0.500
0.250 0.750 0.500
0.500 0.500 0.000
```

Results
calculated volume = 39.12 Å³ per atom
crystal system = tetragonal
D(E_F) = 4.183 states/eV/f.u.

---

(x)
Entry from Alexandria via LeMat-Bulk: a geometry-optimized K2CaMn structure (GGA-PBEsol).

```
K2CaMn
1.0
0.000 4.363 4.363
4.363 0.000 4.363
4.363 4.363 0.000
K Ca Mn
2 1 1
direct
0.250 0.250 0.250
0.750 0.750 0.750
0.000 0.000 0.000
0.500 0.500 0.500
```

Results
calculated volume = 41.52 Å³ per atom
crystal system = cubic
D(E_F) = 4.606 states/eV/f.u.

---

Each structure's energy above the most stable one, in eV/atom: (w) 0.000; (x) 0.111.

---

(w)
Entry from Alexandria via LeMat-Bulk: a geometry-optimized NiIr2Se structure (GGA-PBEsol).

```
NiIr2Se
1.0
2.878 0.000 0.000
0.000 3.412 0.000
0.000 0.000 5.586
Ni Ir Se
1 2 1
direct
0.000 0.000 0.000
0.500 0.500 0.235
0.500 0.500 0.765
0.000 0.000 0.500
```

Results
calculated volume = 13.72 Å³ per atom
crystal system = orthorhombic
D(E_F) = 5.100 states/eV/f.u.

---

(x)
Entry from Alexandria via LeMat-Bulk: a geometry-optimized NiIr2Se structure (GGA-PBEsol).

```
NiIr2Se
1.0
4.401 0.000 0.000
0.000 4.401 0.000
0.000 0.000 2.849
Ni Ir Se
1 2 1
direct
0.000 0.000 0.000
0.000 0.500 0.500
0.500 0.000 0.500
0.500 0.500 0.000
```

Results
calculated volume = 13.80 Å³ per atom
crystal system = tetragonal
D(E_F) = 6.342 states/eV/f.u.

---

Each structure's energy above the most stable one, in eV/atom: (w) 0.000; (x) 0.121.

---

(w)
Entry from Alexandria via LeMat-Bulk: a geometry-optimized CuOs2Cl structure (GGA-PBEsol).

```
CuOs2Cl
1.0
-1.379 2.218 4.573
1.379 -2.218 4.573
1.379 2.218 -4.573
Cu Os Cl
1 2 1
direct
0.000 0.000 0.000
0.502 0.502 0.000
0.738 0.238 0.500
0.271 0.771 0.500
```

Results
calculated volume = 13.99 Å³ per atom
crystal system = orthorhombic
D(E_F) = 3.553 states/eV/f.u.

---

(x)
Entry from Alexandria via LeMat-Bulk: a geometry-optimized CuOs2Cl structure (GGA-PBEsol).

```
CuOs2Cl
1.0
0.000 2.980 2.980
2.980 0.000 2.980
2.980 2.980 0.000
Cu Os Cl
1 2 1
direct
0.000 0.000 0.000
0.250 0.250 0.250
0.750 0.750 0.750
0.500 0.500 0.500
```

Results
calculated volume = 13.23 Å³ per atom
crystal system = cubic
D(E_F) = 4.412 states/eV/f.u.

---

Each structure's energy above the most stable one, in eV/atom: (w) 0.000; (x) 0.293.